No. 1
Pr4Nd2Ho3: optimized geometry, PBE-GGA.

For the formation enthalpy at 0 K, the calculation gives 0.02 eV per atom. The energy relative to the lowest polymorph listed for this composition comes out at 0.000 eV/atom. The total magnetization is 0.0 μB/cell.

It has space group C2/m (No. 12), with a = 11.4969 Å, b = 5.1702 Å, c = 10.9139 Å, α = 90.00°, β = 108.27° and γ = 90.00°. The inequivalent atoms are Pr at (0.0022, 0.0000, 0.3340), Pr at (0.1670, 0.5000, 0.8882), Nd at (0.1677, 0.5000, 0.2250), Ho at (0.0000, 0.0000, 0.0000) and Ho at (0.1650, 0.5000, 0.5533).

No. 2
NdTlZnAu: optimized geometry, PBE-GGA.

For the formation enthalpy at 0 K, the calculation gives -0.41 eV per atom. The total magnetization is 0.0 μB/cell.

It has space group F-43m (No. 216), with a = 7.1610 Å, b = 7.1610 Å, c = 7.1610 Å, α = 90.00°, β = 90.00° and γ = 90.00°. The inequivalent atoms are Nd at (0.0000, 0.0000, 0.0000), Tl at (0.0000, 0.0000, 0.5000), Zn at (0.2500, 0.2500, 0.2500) and Au at (0.2500, 0.2500, 0.7500).

Q: Which value of formation enthalpy at 0 K does entry 1 give?
A: 0.02 eV per atom